1.
First-principles (PBE) data for a relaxed structure of Pm5Pr2HoEr, as listed in the Alexandria database.

Cell: 8.621 8.621 10.323 Å, 114.68 114.68 90.00°
Element x y z (fractional)
Pm  0.926  0.426  0.288
Pm  0.638  0.138  0.712
Pm  0.074  0.574  0.712
Pm  0.138  0.074  0.712
Pm  0.574  0.638  0.712
Pm  0.862  0.926  0.288
Pm  0.426  0.362  0.288
Pm  0.362  0.862  0.288
Pm  0.500  0.500  0.000
Pm  0.000  0.000  0.000
Pr  0.122  0.378  0.000
Pr  0.622  0.122  0.000
Pr  0.378  0.878  0.000
Pr  0.878  0.622  0.000
Ho  0.250  0.250  0.500
Ho  0.750  0.750  0.500
Er  0.250  0.750  0.500
Er  0.750  0.250  0.500

- calculated volume (Å³/cell) = 619
- calculated total energy (eV/atom) = -4.446

***

2.
First-principles (PBE) data for a relaxed structure of PmPr6Ho3Er2, as listed in the Alexandria database.

Cell: 6.304 6.304 11.890 Å, 95.06 95.06 120.00°
Element x y z (fractional)
Pm  0.000  0.000  0.000
Pr  0.916  0.582  0.749
Pr  0.750  0.750  0.251
Pr  0.084  0.418  0.251
Pr  0.582  0.916  0.749
Pr  0.250  0.250  0.749
Pr  0.418  0.084  0.251
Ho  0.167  0.833  0.500
Ho  0.833  0.167  0.500
Ho  0.500  0.500  0.500
Er  0.333  0.667  0.000
Er  0.667  0.333  0.000

- calculated volume (Å³/cell) = 403
- calculated total energy (eV/atom) = -4.678

***

3.
First-principles (PBE) data for a relaxed structure of Pm6Pr3Ho2Er, as listed in the Alexandria database.

Cell: 6.303 6.303 12.024 Å, 95.02 95.02 120.02°
Element x y z (fractional)
Pm  0.918  0.585  0.756
Pm  0.749  0.749  0.245
Pm  0.082  0.415  0.244
Pm  0.585  0.918  0.756
Pm  0.251  0.251  0.755
Pm  0.415  0.082  0.244
Pr  0.167  0.833  0.500
Pr  0.833  0.167  0.500
Pr  0.500  0.500  0.500
Ho  0.333  0.667  0.000
Ho  0.667  0.333  0.000
Er  0.000  0.000  0.000

- calculated volume (Å³/cell) = 407
- calculated total energy (eV/atom) = -4.695

***

4.
First-principles (PBE) data for a relaxed structure of PmPr5HoEr2, as listed in the Alexandria database.

Cell: 5.673 10.676 10.800 Å, 90.00 90.00 105.41°
Element x y z (fractional)
Pm  0.800  0.600  0.510
Pm  0.200  0.400  0.010
Pr  0.388  0.775  0.024
Pr  0.719  0.439  0.810
Pr  0.482  0.964  0.744
Pr  0.295  0.590  0.703
Pr  0.985  0.970  0.519
Pr  0.612  0.225  0.524
Pr  0.281  0.561  0.310
Pr  0.518  0.036  0.244
Pr  0.705  0.410  0.203
Pr  0.015  0.030  0.019
Ho  0.591  0.183  0.962
Ho  0.409  0.817  0.462
Er  0.884  0.769  0.811
Er  0.111  0.221  0.741
Er  0.116  0.231  0.311
Er  0.889  0.779  0.241

- calculated volume (Å³/cell) = 631
- calculated total energy (eV/atom) = -4.562